First-principles (PBE) data for a relaxed CsPa2O5 crystal, as listed in Alexandria via LeMat-Bulk.

Lattice parameters (Å, degrees): 6.9942 6.9942 6.9942 149.33 129.95 59.85
Fractional positions:
Cs 0.0000 0.0000 0.0000
Pa 0.3183 0.8183 0.5000
Pa 0.6817 0.1817 0.5000
O 0.0940 0.3272 0.7668
O 0.4396 0.6728 0.7668
O 0.5000 0.0000 0.5000
O 0.5604 0.3272 0.2332
O 0.9060 0.6728 0.2332

Output
**Energy relative to the elements, uncorrected**: -3.162 eV/atom

First-principles (PBE) data for a relaxed Cs2Pa3O8 crystal, as listed in Alexandria via LeMat-Bulk.

Lattice parameters (Å, degrees): 8.0142 8.0142 6.1321 107.64 107.64 53.37
Fractional positions:
Cs 0.2138 0.2138 0.1628
Cs 0.7862 0.7862 0.8372
Pa 0.2424 0.7576 0.5000
Pa 0.5000 0.5000 0.0000
Pa 0.7576 0.2424 0.5000
O 0.0876 0.0876 0.4739
O 0.2111 0.6338 0.1308
O 0.3662 0.7889 0.8692
O 0.4227 0.4227 0.6029
O 0.5773 0.5773 0.3971
O 0.6338 0.2111 0.1308
O 0.7889 0.3662 0.8692
O 0.9124 0.9124 0.5261

Output
**Energy relative to the elements, uncorrected**: -3.127 eV/atom

First-principles (PBE) data for a relaxed CsPa2O6 crystal, as listed in Alexandria via LeMat-Bulk.

Lattice parameters (Å, degrees): 8.1176 8.1176 8.1176 60.00 60.00 60.00
Fractional positions:
Cs 0.1250 0.1250 0.1250
Cs 0.8750 0.8750 0.8750
Pa 0.0000 0.5000 0.5000
Pa 0.5000 0.0000 0.5000
Pa 0.5000 0.5000 0.0000
Pa 0.5000 0.5000 0.5000
O 0.1840 0.1840 0.5660
O 0.1840 0.5660 0.1840
O 0.1840 0.5660 0.5660
O 0.4340 0.4340 0.8160
O 0.4340 0.8160 0.4340
O 0.4340 0.8160 0.8160
O 0.5660 0.1840 0.1840
O 0.5660 0.1840 0.5660
O 0.5660 0.5660 0.1840
O 0.8160 0.4340 0.4340
O 0.8160 0.4340 0.8160
O 0.8160 0.8160 0.4340

Output
**Energy relative to the elements, uncorrected**: -3.049 eV/atom

First-principles (PBE) data for a relaxed Cs5PaO6 crystal, as listed in Alexandria via LeMat-Bulk.

Lattice parameters (Å, degrees): 7.2657 7.2657 7.0816 99.79 99.79 119.91
Fractional positions:
Cs 0.0000 0.0000 0.0000
Cs 0.1670 0.8330 0.5000
Cs 0.3368 0.6632 0.0000
Cs 0.6632 0.3368 0.0000
Cs 0.8330 0.1670 0.5000
Pa 0.5000 0.5000 0.5000
O 0.1988 0.4361 0.3106
O 0.3254 0.3254 0.6916
O 0.4361 0.1988 0.3106
O 0.5639 0.8012 0.6894
O 0.6746 0.6746 0.3084
O 0.8012 0.5639 0.6894

Output
**Energy relative to the elements, uncorrected**: -1.868 eV/atom

First-principles (PBE) data for a relaxed Cs3Pa4O12 crystal, as listed in Alexandria via LeMat-Bulk.

Lattice parameters (Å, degrees): 7.6440 7.6440 7.6440 109.47 109.47 109.47
Fractional positions:
Cs 0.0000 0.5000 0.5000
Cs 0.5000 0.0000 0.5000
Cs 0.5000 0.5000 0.0000
Pa 0.0000 0.0000 0.5000
Pa 0.0000 0.5000 0.0000
Pa 0.5000 0.0000 0.0000
Pa 0.5000 0.5000 0.5000
O 0.0000 0.2525 0.7475
O 0.0000 0.7475 0.2525
O 0.2525 0.0000 0.7475
O 0.2525 0.2525 0.5049
O 0.2525 0.5049 0.2525
O 0.2525 0.7475 0.0000
O 0.4951 0.7475 0.7475
O 0.5049 0.2525 0.2525
O 0.7475 0.0000 0.2525
O 0.7475 0.2525 0.0000
O 0.7475 0.4951 0.7475
O 0.7475 0.7475 0.4951

Output
**Energy relative to the elements, uncorrected**: -3.017 eV/atom

First-principles (PBE) data for a relaxed CsPa3O8 crystal, as listed in Alexandria via LeMat-Bulk.

Lattice parameters (Å, degrees): 6.2351 6.2351 8.1664 90.00 90.00 120.00
Fractional positions:
Cs 0.0000 0.0000 0.0000
Pa 0.0000 0.0000 0.5000
Pa 0.3333 0.6667 0.5770
Pa 0.6667 0.3333 0.4230
O 0.0406 0.3417 0.3961
O 0.3011 0.9594 0.3961
O 0.3333 0.6667 0.8095
O 0.3417 0.3011 0.6039
O 0.6583 0.6989 0.3961
O 0.6667 0.3333 0.1905
O 0.6989 0.0406 0.6039
O 0.9594 0.6583 0.6039

Output
**Energy relative to the elements, uncorrected**: -3.166 eV/atom